Crystalline In3BI at its relaxed geometry, computed with PBE.

## Properties
SG: Pm-3m
E above lowest polymorph, eV/f.u.: 0.00

POSCAR file:
```
In3BI
1.0
5.094 0.000 0.000
0.000 5.094 0.000
0.000 0.000 5.094
I B In
1 1 3
Direct
0.500 0.500 0.500 I
0.000 0.000 0.000 B
0.000 0.500 0.000 In
0.000 0.000 0.500 In
0.500 0.000 0.000 In
```

---

Crystalline Ce2AlSn4 at its relaxed geometry, computed with PBE.

## Properties
ΔE_f, eV/atom: -0.39
SG: P-4m2

POSCAR file:
```
Ce2AlSn4
1.0
-4.194 1.505 0.598
-1.326 -2.238 -3.666
-1.951 -7.549 5.314
Ce Al Sn
2 1 4
Direct
0.500 0.000 0.764 Ce
0.000 0.500 0.236 Ce
0.500 0.500 0.000 Al
0.500 0.000 0.176 Sn
0.000 0.500 0.824 Sn
0.500 0.500 0.500 Sn
0.000 0.000 0.500 Sn
```

---

Crystalline Tl2Cd2Bi at its relaxed geometry, computed with PBE.

## Properties
ΔE_f, eV/atom: 0.15
SG: I4/mmm
E above lowest polymorph, eV/f.u.: 0.63

POSCAR file:
```
Tl2Cd2Bi
1.0
4.544 0.000 0.000
0.000 4.544 0.000
2.272 2.272 7.166
Tl Bi Cd
2 1 2
Direct
0.750 0.250 0.500 Tl
0.250 0.750 0.500 Tl
0.000 0.000 0.000 Bi
0.404 0.404 0.191 Cd
0.596 0.596 0.809 Cd
```

---

Crystalline MgTlCr at its relaxed geometry, computed with PBE.

## Properties
ΔE_f, eV/atom: 0.56
SG: F-43m

POSCAR file:
```
MgTlCr
1.0
-4.529 0.513 1.086
-2.168 -3.241 2.598
-1.256 0.984 4.405
Cr Mg Tl
1 1 1
Direct
0.000 0.000 0.000 Cr
0.500 0.500 0.500 Mg
0.750 0.750 0.750 Tl
```